The following is a DFT calculation (PBE) of a relaxed structure of LiF.

a b c (Å): 2.5596 2.5596 2.5596
angles (deg): 90.00 90.00 90.00
Sites, in units of the cell vectors:
Li 0.0000 0.0000 0.0000
F 0.5000 0.5000 0.5000

Results
- offset from the most stable computed form (meV per atom) = 287.2
- symmetry = Pm-3m, No. 221
- uncorrected formation energy (eV/atom) = -2.665
- raw total energy (eV per atom) = -4.5572
- V (Å³/cell) = 16.8